# 1
! Pm3PN, optimized geometry, DFT PBE; values from VASP
! E_form (uncorrected)	-842	meV per atom
! polymorph energy (0 for the lowest one)	0.203	eV/atom
! space-group type	No. 221
&SYSTEM
  ibrav = 0, nat = 5, ntyp = 3
/
ATOMIC_SPECIES
Pm 145.00 Pm.upf
N 14.01 N.upf
P 30.97 P.upf
ATOMIC_POSITIONS crystal
Pm 0.000 0.000 0.500
Pm 0.500 0.000 0.000
Pm 0.000 0.500 0.000
N 0.000 0.000 0.000
P 0.500 0.500 0.500
CELL_PARAMETERS angstrom
4.835 0.000 0.000
0.000 4.835 0.000
0.000 0.000 4.835

---

# 2
! Li5TlHg, optimized geometry, DFT PBE; values from VASP
! calculated formation energy	-0.193	eV/atom
! polymorph energy (0 for the lowest one)	0.020	eV/atom
! space-group type	No. 123
&SYSTEM
  ibrav = 0, nat = 7, ntyp = 3
/
ATOMIC_SPECIES
Li 6.94 Li.upf
Tl 204.38 Tl.upf
Hg 200.59 Hg.upf
ATOMIC_POSITIONS crystal
Li 0.000 0.000 0.500
Tl 0.500 0.500 0.500
Li 0.500 0.000 0.771
Li 0.000 0.500 0.771
Li 0.000 0.500 0.229
Hg 0.000 0.000 0.000
Li 0.500 0.000 0.229
CELL_PARAMETERS angstrom
-1.958 0.013 3.823
3.189 -2.364 1.641
3.739 6.357 1.892

---

# 3
! Ba2Na2Cd, optimized geometry, DFT PBE; values from VASP
! calculated formation energy	-0.011	eV/atom
! polymorph energy (0 for the lowest one)	0.140	eV/atom
! space-group type	No. 127
&SYSTEM
  ibrav = 0, nat = 10, ntyp = 3
/
ATOMIC_SPECIES
Ba 137.33 Ba.upf
Na 22.99 Na.upf
Cd 112.41 Cd.upf
ATOMIC_POSITIONS crystal
Ba 0.183 0.683 0.500
Ba 0.817 0.317 0.500
Na 0.366 0.866 0.000
Ba 0.317 0.183 0.500
Na 0.134 0.366 0.000
Ba 0.683 0.817 0.500
Cd 0.000 0.000 0.000
Cd 0.500 0.500 0.000
Na 0.634 0.134 0.000
Na 0.866 0.634 0.000
CELL_PARAMETERS angstrom
-0.523 8.481 0.368
-8.488 -0.529 0.109
0.091 -0.249 5.857